The following is a PBE-GGA calculation of a relaxed Nd3As4Pd7 crystal, from the Alexandria database.

Calculated values
E_tot (eV per cell): -164.0
Energy relative to the elements (eV per atom): -0.911
Magnetic moment (μB/cell): 0.0

abc: 16.028 4.208 9.715
angles: 90.00 126.02 90.00
Space group C2/m (No. 12)
Symmetry-distinct sites (fractional):
Nd 0.000 0.000 0.000 [2 per cell]
Nd 0.179 0.500 0.673 [4 per cell]
As 0.107 0.000 0.823 [4 per cell]
As 0.161 0.500 0.260 [4 per cell]
Pd 0.000 0.000 0.500 [2 per cell]
Pd 0.010 0.500 0.288 [4 per cell]
Pd 0.161 0.000 0.420 [4 per cell]
Pd 0.194 0.500 0.027 [4 per cell]

---

The following is a PBE-GGA calculation of a relaxed BeV2HRh crystal, from the Alexandria database.

Calculated values
E_tot (eV per cell): -33.6
Magnetic moment (μB/cell): 0.0

abc: 3.617 3.617 3.947
angles: 90.00 90.00 90.00
Space group P4/mmm (No. 123)
Symmetry-distinct sites (fractional):
Be 0.000 0.000 0.000 [1 per cell]
V 0.000 0.500 0.500 [2 per cell]
H 0.000 0.000 0.500 [1 per cell]
Rh 0.500 0.500 0.000 [1 per cell]

---

The following is a PBE-GGA calculation of a relaxed SiNiPd3 crystal, from the Alexandria database.

Calculated values
Formation energy from raw total energies (meV per atom): 884
E_tot (eV per cell): -22.4
Magnetic moment (μB/cell): 0.9

abc: 4.533 4.533 4.533
angles: 90.00 90.00 90.00
Space group Pm-3m (No. 221)
Symmetry-distinct sites (fractional):
Si 0.000 0.000 0.000 [1 per cell]
Ni 0.500 0.500 0.500 [1 per cell]
Pd 0.000 0.500 0.500 [3 per cell]

---

The following is a PBE-GGA calculation of a relaxed SrCrSe2 crystal, from the Alexandria database.

Calculated values
Formation energy from raw total energies (meV per atom): -277
E_tot (eV per cell): -77.5
Magnetic moment (μB/cell): 0.0

abc: 6.891 6.891 6.891
angles: 90.00 90.00 90.00
Space group Fm-3m (No. 225)
Symmetry-distinct sites (fractional):
Sr 0.000 0.000 0.000 [4 per cell]
Cr 0.000 0.000 0.500 [4 per cell]
Se 0.250 0.250 0.250 [8 per cell]

---

The following is a PBE-GGA calculation of a relaxed La3GeH3 crystal, from the Alexandria database.

Calculated values
E_tot (eV per cell): -201.4
Magnetic moment (μB/cell): 6.4

abc: 7.1671 7.1671 20.9436
angles: 90.00 90.00 120.00
Space group R-3 (No. 148, hexagonal axes)
Symmetry-distinct sites (fractional):
La 0.0014 0.3406 0.4095 [18 per cell]
Ge 0.0000 0.0000 0.1661 [6 per cell]
H 0.0006 0.6706 0.0404 [18 per cell]

---

The following is a PBE-GGA calculation of a relaxed AcPuPd2 crystal, from the Alexandria database.

Calculated values
E_tot (eV per cell): -62.3
Energy relative to the elements (eV per atom): -0.576
Magnetic moment (μB/cell): 11.6

abc: 4.475 4.065 11.380
angles: 90.00 90.00 90.00
Space group Amm2 (No. 38)
Symmetry-distinct sites (fractional):
Ac 0.000 0.000 0.000 [2 per cell]
Pu 0.500 0.000 0.275 [2 per cell]
Pd 0.000 0.000 0.730 [2 per cell]
Pd 0.500 0.000 0.562 [2 per cell]

---

Q: The highest E_tot belongs to which entry?
A: SiNiPd3